Entry 1:
NaH2Cl | GGA-PBE | relaxed

- Density: 1.24 g/cm3
- Energy relative to the lowest polymorph listed for this composition: 904 meV/atom
- Crystal system: tetragonal

The structure in CIF format:
```
data_NaH2Cl
_cell_length_a 3.5485
_cell_length_b 3.5485
_cell_length_c 25.6842
_cell_angle_alpha 90.00
_cell_angle_beta 90.00
_cell_angle_gamma 90.00
_symmetry_space_group_name_H-M 'I 41/a m d'
_symmetry_Int_Tables_number 141
loop_
_symmetry_equiv_pos_as_xyz
'x,y,z'
'-x,-y,-z'
'-y+1/4,x+3/4,z+1/4'
'y+1/4,-x+3/4,-z+1/4'
'-x+1/2,-y,z+1/2'
'x+1/2,y,-z+1/2'
'y+1/4,-x+1/4,z+3/4'
'-y+1/4,x+1/4,-z+3/4'
'x,-y,-z'
'-x,y,z'
'-y+1/4,-x+1/4,-z+3/4'
'y+1/4,x+1/4,z+3/4'
'-x+1/2,y,-z+1/2'
'x+1/2,-y,z+1/2'
'y+1/4,x+3/4,-z+1/4'
'-y+1/4,-x+3/4,z+1/4'
'x+1/2,y+1/2,z+1/2'
'-x+1/2,-y+1/2,-z+1/2'
'-y+3/4,x+1/4,z+3/4'
'y+3/4,-x+1/4,-z+3/4'
'-x,-y+1/2,z'
'x,y+1/2,-z'
'y+3/4,-x+3/4,z+1/4'
'-y+3/4,x+3/4,-z+1/4'
'x+1/2,-y+1/2,-z+1/2'
'-x+1/2,y+1/2,z+1/2'
'-y+3/4,-x+3/4,-z+1/4'
'y+3/4,x+3/4,z+1/4'
'-x,y+1/2,-z'
'x,-y+1/2,z'
'y+3/4,x+1/4,-z+3/4'
'-y+3/4,-x+1/4,z+3/4'
loop_
_atom_site_label
_atom_site_type_symbol
_atom_site_fract_x
_atom_site_fract_y
_atom_site_fract_z
_atom_site_occupancy
Na1 Na 0.0000 0.2500 0.3750 1
H1 H 0.0000 0.0000 0.0000 1
Cl1 Cl 0.0000 0.2500 0.8750 1
```

=====

Entry 2:
LiDyBeZn | GGA-PBE | relaxed

- Density: 6.26 g/cm3
- Formation energy from the elements: -0.0542 eV per atom
- Crystal system: cubic

The structure in CIF format:
```
data_LiDyBeZn
_cell_length_a 6.3717
_cell_length_b 6.3717
_cell_length_c 6.3717
_cell_angle_alpha 90.00
_cell_angle_beta 90.00
_cell_angle_gamma 90.00
_symmetry_space_group_name_H-M 'F -4 3 m'
_symmetry_Int_Tables_number 216
_symmetry_space_group_name_Hall 'F -4 2 3'
loop_
_atom_site_label
_atom_site_type_symbol
_atom_site_fract_x
_atom_site_fract_y
_atom_site_fract_z
_atom_site_occupancy
Li1 Li 0.0000 0.0000 0.0000 1
Dy1 Dy 0.2500 0.2500 0.7500 1
Be1 Be 0.0000 0.0000 0.5000 1
Zn1 Zn 0.2500 0.2500 0.2500 1
```

=====

Entry 3:
K4Na3 | GGA-PBE | relaxed

- Density: 0.95 g/cm3
- Energy relative to the lowest polymorph listed for this composition: 0 meV/atom
- Formation energy from the elements: 0.0157 eV per atom
- Crystal system: tetragonal

The structure in CIF format:
```
data_K4Na3
_cell_length_a 4.5352
_cell_length_b 4.5352
_cell_length_c 38.2420
_cell_angle_alpha 90.00
_cell_angle_beta 90.00
_cell_angle_gamma 90.00
_symmetry_space_group_name_H-M 'I 4/m m m'
_symmetry_Int_Tables_number 139
_symmetry_space_group_name_Hall '-I 4 2'
loop_
_atom_site_label
_atom_site_type_symbol
_atom_site_fract_x
_atom_site_fract_y
_atom_site_fract_z
_atom_site_occupancy
K1 K 0.0000 0.0000 0.0661 1
K2 K 0.0000 0.0000 0.3433 1
Na1 Na 0.0000 0.0000 0.2270 1
Na2 Na 0.0000 0.0000 0.5000 1
```

=====

Number 1: size of the total moment 0.00 μB/cell. Number 2: size of the total moment 0.00 μB/cell. Number 3: size of the total moment 0.00 μB/cell.